# 1
Density functional theory data (PBE) for a geometry-optimized Mn2Be structure.

```
3
Lattice="3.7977 0.0000 0.0000 -1.8988 3.2889 0.0000 0.0000 0.0000 2.3591" Properties=species:S:1:pos:R:3 pbc="T T T"
Be 0.0000 0.0000 0.0000
Mn 1.8988 1.0963 0.8592
Mn 0.0000 2.1926 1.4999
```

Properties
- symmetry = P-3m1 (164)
- DFT formation energy (meV/atom) = -83.9
- E (eV per atom) = -7.44
- spin magnetization (μB/f.u.) = 0.00

# 2
Density functional theory data (PBE) for a geometry-optimized Ho5Tl4Hg structure.

```
10
Lattice="-0.7736 3.2875 -1.5617 -3.1993 0.1470 1.8942 9.0053 9.0124 14.5110" Properties=species:S:1:pos:R:3 pbc="T T T"
Ho -1.1409 2.5634 1.5287
Ho 0.6852 4.3910 4.4712
Ho 2.5162 6.2235 7.4217
Ho 4.3472 8.0559 10.3722
Ho 6.1733 9.8835 13.3147
Tl 1.7576 1.7590 2.8321
Tl 3.5890 3.5919 5.7833
Tl 5.4163 5.4205 8.7277
Tl 7.2477 7.2534 11.6788
Hg 0.0000 0.0000 0.0000
```

Properties
- symmetry = P4/mmm (123)
- DFT formation energy (meV/atom) = -357.2
- E (eV per atom) = -3.62
- spin magnetization (μB/f.u.) = 0.00

# 3
Density functional theory data (PBE) for a geometry-optimized Sm2SiN structure.

```
4
Lattice="-3.9426 -1.6098 1.2574 -0.5686 -1.4962 4.1419 -3.5877 5.7632 3.9696" Properties=species:S:1:pos:R:3 pbc="T T T"
Si -4.0495 1.3286 4.6845
Sm -3.0031 3.8562 3.3610
Sm -5.0958 -1.1990 6.0080
N 0.0000 0.0000 0.0000
```

Properties
- symmetry = R-3m (166)
- E (eV per atom) = -5.93
- spin magnetization (μB/f.u.) = 0.00

# 4
Density functional theory data (PBE) for a geometry-optimized Cs2RbTlCu structure.

```
5
Lattice="7.7859 0.0000 0.0000 0.0000 7.7859 0.0000 0.0000 0.0000 5.1423" Properties=species:S:1:pos:R:3 pbc="T T T"
Cs 0.0000 3.8929 0.0000
Cs 3.8929 0.0000 0.0000
Tl 0.0000 0.0000 0.0000
Cu 0.0000 0.0000 2.5712
Rb 3.8929 3.8929 2.5712
```

Properties
- symmetry = P4/mmm (123)
- DFT formation energy (meV/atom) = 234.9
- E (eV per atom) = -1.59
- offset from the most stable computed form (kJ per mole of atoms) = 5.79
- spin magnetization (μB/f.u.) = 0.00